Entry from Alexandria: Nd2InTc after structural relaxation (PBE).

Geometry as POSCAR:
```
Nd2InTc
1.0
3.651 0.000 0.000
0.000 3.651 0.000
0.000 0.000 7.750
Nd Tc In
2 1 1
direct
0.000 0.000 0.785
0.000 0.000 0.215
0.500 0.500 0.000
0.500 0.500 0.500
```

## Properties
**DFT total energy**: -5.7411 eV per atom
**Total moment**: 0.000 μB per atom
**Formation energy from the elements**: -0.3 eV per formula unit
**Crystal system**: tetragonal
**Calculated volume**: 25.82 Å³ per atom

---

Entry from Alexandria: Nd4InTc after structural relaxation (PBE).

Geometry as POSCAR:
```
Nd4InTc
1.0
6.275 0.255 -1.219
-2.221 7.228 -2.791
0.190 -0.284 8.053
Nd In Tc
8 2 2
direct
0.892 0.637 0.795
0.047 0.943 0.276
0.608 0.205 0.363
0.453 0.724 0.057
0.547 0.276 0.943
0.392 0.795 0.637
0.953 0.057 0.724
0.108 0.363 0.205
0.750 0.623 0.377
0.250 0.377 0.623
0.250 0.000 0.000
0.750 0.000 0.000
```

## Properties
**DFT total energy**: -5.5367 eV per atom
**Total moment**: 0.000 μB per atom
**Formation energy from the elements**: -1.0 eV per formula unit
**Crystal system**: monoclinic
**Calculated volume**: 30.47 Å³ per atom

---

Entry from Alexandria: NdInTc after structural relaxation (PBE).

Geometry as POSCAR:
```
NdInTc
1.0
-1.130 4.121 0.390
-3.528 -1.348 4.021
5.228 1.078 3.750
In Tc Nd
2 2 2
direct
0.250 0.104 0.156
0.750 0.896 0.844
0.250 0.920 0.549
0.750 0.080 0.451
0.250 0.422 0.738
0.750 0.578 0.262
```

## Properties
**DFT total energy**: -6.0134 eV per atom
**Total moment**: 0.000 μB per atom
**Formation energy from the elements**: -0.2 eV per formula unit
**Crystal system**: monoclinic
**Calculated volume**: 25.50 Å³ per atom

---

Please write out number 1 again, unchanged.
Entry from Alexandria: Nd2InTc after structural relaxation (PBE).

Geometry as POSCAR:
```
Nd2InTc
1.0
3.651 0.000 0.000
0.000 3.651 0.000
0.000 0.000 7.750
Nd Tc In
2 1 1
direct
0.000 0.000 0.785
0.000 0.000 0.215
0.500 0.500 0.000
0.500 0.500 0.500
```

## Properties
**DFT total energy**: -5.7411 eV per atom
**Total moment**: 0.000 μB per atom
**Formation energy from the elements**: -0.3 eV per formula unit
**Crystal system**: tetragonal
**Calculated volume**: 25.82 Å³ per atom

---

Repeat the third record exactly.
Entry from Alexandria: NdInTc after structural relaxation (PBE).

Geometry as POSCAR:
```
NdInTc
1.0
-1.130 4.121 0.390
-3.528 -1.348 4.021
5.228 1.078 3.750
In Tc Nd
2 2 2
direct
0.250 0.104 0.156
0.750 0.896 0.844
0.250 0.920 0.549
0.750 0.080 0.451
0.250 0.422 0.738
0.750 0.578 0.262
```

## Properties
**DFT total energy**: -6.0134 eV per atom
**Total moment**: 0.000 μB per atom
**Formation energy from the elements**: -0.2 eV per formula unit
**Crystal system**: monoclinic
**Calculated volume**: 25.50 Å³ per atom

---

Q: Look up the DFT total energy of the third one.
A: -6.0134 eV per atom